Compound: CrReP2O
Source: Alexandria
Functional: PBE+U
Structure: relaxed

Cell and atoms, written as extended XYZ:
```
5
Lattice="-1.0239 -4.5257 0.7565 2.9915 -1.2461 -3.4059 2.5209 -0.1887 2.2833" Properties=species:S:1:pos:R:3 pbc="T T T"
O 1.2605 -0.0944 1.1416
Re 2.2443 -2.9803 -0.1831
Cr 0.0000 0.0000 0.0000
P -0.5120 -2.2628 0.3782
P 1.4958 -0.6231 -1.7030
```

Total DFT energy (no corrections) ... -32.70 eV for the cell shown
SG ... P4/mmm (123)
Energy relative to the lowest polymorph listed for this composition ... 651.7 meV/atom